No. 1
! LiIn, PBEsol geometry, DFT SCAN; values from VASP
! Mass density (g/cm3): 5.2
! Fermi-level density of states (states/eV per cell): 0.46
! Electronic total energy (eV per atom): -18.287
&SYSTEM
  ibrav = 0, nat = 4, ntyp = 2
/
ATOMIC_SPECIES
Li 6.94 Li.upf
In 114.82 In.upf
CELL_PARAMETERS angstrom
0.000 3.388 3.388
3.388 0.000 3.388
3.388 3.388 0.000
ATOMIC_POSITIONS angstrom
Li 0.847 0.847 0.847
Li 5.929 5.929 5.929
In 2.541 2.541 2.541
In 4.235 4.235 4.235



No. 2
! BeCrFe2, PBEsol geometry, DFT SCAN; values from VASP
! Mass density (g/cm3): 7.3
! Fermi-level density of states (states/eV per cell): 2.50
! Electronic total energy (eV per atom): -14.769
&SYSTEM
  ibrav = 0, nat = 4, ntyp = 3
/
ATOMIC_SPECIES
Be 9.01 Be.upf
Cr 52.00 Cr.upf
Fe 55.84 Fe.upf
CELL_PARAMETERS angstrom
-1.483 1.880 3.544
1.483 -1.880 3.544
1.483 1.880 -3.544
ATOMIC_POSITIONS angstrom
Be 0.000 0.000 0.000
Cr 0.000 0.000 3.544
Fe 1.483 0.000 1.772
Fe 0.000 1.880 1.772



No. 3
! MgCr2W, PBEsol geometry, DFT SCAN; values from VASP
! Mass density (g/cm3): 9.4
! Fermi-level density of states (states/eV per cell): 3.48
! Energy above the lowest structure with this stoichiometry (meV/atom): 288
&SYSTEM
  ibrav = 0, nat = 4, ntyp = 3
/
ATOMIC_SPECIES
Mg 24.30 Mg.upf
Cr 52.00 Cr.upf
W 183.84 W.upf
CELL_PARAMETERS angstrom
-1.798 1.798 4.281
1.798 -1.798 4.281
1.798 1.798 -4.281
ATOMIC_POSITIONS angstrom
Mg 0.000 0.000 0.000
Cr 1.798 0.000 2.140
Cr 0.000 0.000 4.281
W 0.000 1.798 2.140



No. 4
! NaAuN2O, PBEsol geometry, DFT SCAN; values from VASP
! Mass density (g/cm3): 6.0
! Fermi-level density of states (states/eV per cell): 1.10
! ΔE_f (raw) (eV/atom): 1.99
&SYSTEM
  ibrav = 0, nat = 5, ntyp = 4
/
ATOMIC_SPECIES
Na 22.99 Na.upf
Au 196.97 Au.upf
N 14.01 N.upf
O 16.00 O.upf
CELL_PARAMETERS angstrom
4.256 0.000 0.000
0.000 4.256 0.000
0.000 0.000 4.061
ATOMIC_POSITIONS angstrom
Na 0.000 0.000 0.000
Au 2.128 2.128 2.031
N 0.000 2.128 0.000
N 2.128 0.000 0.000
O 0.000 0.000 2.031